[1]
Computed, not measured: a relaxed Li2TaTc crystal at the PBE level of DFT.

Output
**Energy relative to the elements**: 0.206 eV/atom
**Symmetry**: Pmmm

```
4
Lattice="3.1725 0.0000 0.0000 0.0000 4.0479 0.0000 0.0000 0.0000 4.8893" Properties=species:S:1:pos:R:3 pbc="T T T"
Li 0.0000 0.0000 0.0000
Li 1.5863 2.0239 0.0000
Ta 0.0000 2.0239 2.4447
Tc 1.5863 0.0000 2.4447
```

[2]
Computed, not measured: a relaxed Rb2TbAg2Cl6 crystal at the PBE level of DFT.

Output
**Symmetry**: C2/m
**Energy relative to the elements, uncorrected**: -1.4859 eV per atom

```
11
Lattice="6.4086 -3.9386 0.0000 6.4086 3.9386 0.0000 -4.2830 0.0000 7.3549" Properties=species:S:1:pos:R:3 pbc="T T T"
Rb 2.0532 0.0000 1.1559
Rb 6.4809 0.0000 6.1990
Tb -2.1415 0.0000 3.6775
Ag 2.2163 0.0000 5.9983
Ag 6.3178 0.0000 1.3566
Cl 4.5564 2.1153 1.7393
Cl 0.4957 0.0000 4.0374
Cl 3.9777 2.1153 5.6156
Cl 4.5564 -2.1153 1.7393
Cl 8.0384 0.0000 3.3175
Cl 3.9777 -2.1153 5.6156
```

[3]
Computed, not measured: a relaxed Mg7Zn2Pb crystal at the PBE level of DFT.

Output
**Energy relative to the elements**: -0.026 eV/atom
**Symmetry**: I4/mmm

```
10
Lattice="-2.3369 2.3369 10.4466 2.3369 -2.3369 10.4466 2.3369 2.3369 -10.4466" Properties=species:S:1:pos:R:3 pbc="T T T"
Mg 0.0000 0.0000 0.0000
Mg 2.3369 0.0000 2.1601
Mg 2.3369 0.0000 5.2233
Mg 2.3369 0.0000 8.2865
Mg 0.0000 2.3369 2.1601
Mg 0.0000 2.3369 5.2233
Mg 0.0000 2.3369 8.2865
Zn 0.0000 0.0000 3.6101
Zn 0.0000 0.0000 17.2831
Pb 0.0000 0.0000 10.4466
```

[4]
Computed, not measured: a relaxed BeP2Pb crystal at the PBE level of DFT.

Output
**Energy relative to the elements**: 0.333 eV/atom
**Symmetry**: P4/mmm

```
4
Lattice="3.1666 0.0000 0.0000 0.0000 3.1666 0.0000 0.0000 0.0000 7.4339" Properties=species:S:1:pos:R:3 pbc="T T T"
Be 0.0000 0.0000 0.0000
P 1.5833 1.5833 1.0658
P 1.5833 1.5833 6.3681
Pb 0.0000 0.0000 3.7170
```

[5]
Computed, not measured: a relaxed AlReAu crystal at the PBE level of DFT.

Output
**Energy relative to the elements**: 0.170 eV/atom
**Symmetry**: Imm2

```
3
Lattice="-1.3999 1.6276 5.1579 1.3999 -1.6276 5.1579 1.3999 1.6276 -5.1579" Properties=species:S:1:pos:R:3 pbc="T T T"
Al 0.0000 0.0000 0.0000
Re 0.0000 0.0000 3.6223
Au 0.0000 0.0000 6.8186
```

[6]
Computed, not measured: a relaxed TmTl2SbTe4 crystal at the PBE level of DFT.

Output
**Symmetry**: P2/m
**Energy relative to the elements, uncorrected**: -0.6246 eV per atom

```
8
Lattice="7.7482 0.0000 0.0000 0.0000 4.4510 0.0000 -2.5684 0.0000 8.0700" Properties=species:S:1:pos:R:3 pbc="T T T"
Tm 0.0000 0.0000 0.0000
Tl -1.2842 2.2255 4.0350
Tl 2.5899 0.0000 4.0350
Sb 3.8741 2.2255 0.0000
Te 1.2777 2.2255 1.6993
Te -0.0161 0.0000 6.3563
Te 5.1959 0.0000 1.7138
Te 3.9021 2.2255 6.3707
```

[7]
Computed, not measured: a relaxed NaTbTh crystal at the PBE level of DFT.

Output
**Energy relative to the elements**: 0.522 eV/atom
**Symmetry**: Fmmm

```
6
Lattice="0.0000 5.4880 5.7465 3.3015 0.0000 5.7465 3.3015 5.4880 0.0000" Properties=species:S:1:pos:R:3 pbc="T T T"
Na 3.3015 5.4880 1.4457
Na 3.3015 5.4880 10.0473
Tb 3.3015 3.5863 5.7465
Tb 3.3015 7.3898 5.7465
Th 1.6507 2.7440 2.8732
Th 4.9522 8.2320 8.6197
```

[8]
Computed, not measured: a relaxed BaNaGe crystal at the PBE level of DFT.

Output
**Energy relative to the elements**: -0.381 eV/atom
**Symmetry**: Cmcm

```
6
Lattice="2.4703 -10.0750 0.0000 2.4703 10.0750 0.0000 0.0000 0.0000 4.2923" Properties=species:S:1:pos:R:3 pbc="T T T"
Ba 2.4703 8.3016 3.2192
Ba 2.4703 -8.3016 1.0731
Na 2.4703 4.1501 3.2192
Na 2.4703 -4.1501 1.0731
Ge 2.4703 0.7732 3.2192
Ge 2.4703 -0.7732 1.0731
```

[9]
Computed, not measured: a relaxed VTcP crystal at the PBE level of DFT.

Output
**Energy relative to the elements**: -0.052 eV/atom
**Symmetry**: Fddd

```
12
Lattice="0.0000 4.1256 5.6446 3.8530 0.0000 5.6446 3.8530 4.1256 0.0000" Properties=species:S:1:pos:R:3 pbc="T T T"
V 2.8898 3.0942 0.2790
V 4.8163 5.1570 3.1013
V 2.8898 3.0942 8.1880
V 4.8163 5.1570 11.0103
Tc 3.8530 2.0628 2.8223
Tc 1.9265 4.1256 2.8223
Tc 1.9265 2.0628 5.6446
Tc 3.8530 4.1256 5.6446
P 2.8898 0.5086 4.2335
P 4.8163 2.5714 7.0558
P 2.8898 5.6799 4.2335
P 4.8163 7.7427 7.0558
```

[10]
Computed, not measured: a relaxed LaSc2Ta crystal at the PBE level of DFT.

Output
**Energy relative to the elements**: 0.313 eV/atom
**Symmetry**: P4/mmm

```
4
Lattice="4.5627 0.0000 0.0000 0.0000 4.5627 0.0000 0.0000 0.0000 4.6479" Properties=species:S:1:pos:R:3 pbc="T T T"
La 0.0000 0.0000 0.0000
Sc 0.0000 2.2814 2.3239
Sc 2.2814 0.0000 2.3239
Ta 2.2814 2.2814 0.0000
```

[11]
Computed, not measured: a relaxed Cr3InCo2S8 crystal at the PBE level of DFT.

Output
**Symmetry**: R-3m
**Energy relative to the elements, uncorrected**: -0.4720 eV per atom

```
14
Lattice="3.5231 2.0341 5.8984 -3.5231 2.0341 5.8984 0.0000 -4.0681 5.8984" Properties=species:S:1:pos:R:3 pbc="T T T"
Cr -1.7616 -1.0170 5.8984
Cr -1.7615 1.0170 11.7969
Cr 0.0000 2.0341 5.8984
In 0.0000 0.0000 8.8476
Co 0.0000 0.0000 2.2504
Co 0.0000 0.0000 15.4449
S 0.0000 -2.0172 7.2157
S -1.7469 1.0086 7.2157
S 0.0000 0.0000 4.5642
S -1.7469 -1.0086 10.4796
S 1.7469 1.0086 7.2157
S 0.0000 0.0000 13.1311
S 1.7469 -1.0086 10.4796
S 0.0000 2.0172 10.4796
```

[12]
Computed, not measured: a relaxed K2MnTeCl crystal at the PBE level of DFT.

Output
**Symmetry**: P4/mmm
**Energy relative to the elements, uncorrected**: -0.4798 eV per atom

```
5
Lattice="5.8648 0.0000 0.0000 0.0000 5.8648 0.0000 0.0000 0.0000 4.9281" Properties=species:S:1:pos:R:3 pbc="T T T"
K 0.0000 2.9324 0.0000
K 2.9324 0.0000 0.0000
Mn 0.0000 0.0000 2.4641
Te 2.9324 2.9324 2.4641
Cl 0.0000 0.0000 0.0000
```

[13]
Computed, not measured: a relaxed Zn6Pd12Au crystal at the PBE level of DFT.

Output
**Energy relative to the elements**: -0.237 eV/atom
**Symmetry**: R-3m

```
19
Lattice="5.6030 3.2349 2.7706 -5.6030 3.2349 2.7706 0.0000 -6.4698 2.7706" Properties=species:S:1:pos:R:3 pbc="T T T"
Zn -1.5411 -0.8898 2.0933
Zn 1.5411 -0.8898 2.0933
Zn 0.0000 1.7795 2.0933
Zn 0.0000 -1.7795 6.2186
Zn -1.5411 0.8898 6.2186
Zn 1.5411 0.8898 6.2186
Pd 0.0000 -4.1421 2.2382
Pd -3.5871 2.0710 2.2382
Pd -1.4835 -2.5694 4.1560
Pd -2.9669 0.0000 4.1560
Pd -3.5871 -2.0710 6.0737
Pd 1.4835 -2.5694 4.1560
Pd -1.4835 2.5694 4.1560
Pd 3.5871 2.0710 2.2382
Pd 2.9669 0.0000 4.1560
Pd 1.4835 2.5694 4.1560
Pd 3.5871 -2.0710 6.0737
Pd 0.0000 4.1421 6.0737
Au 0.0000 0.0000 4.1560
```

[14]
Computed, not measured: a relaxed Ca8CuSn2 crystal at the PBE level of DFT.

Output
**Energy relative to the elements**: -0.337 eV/atom
**Symmetry**: C2/m

```
11
Lattice="9.5187 -2.6733 0.0000 9.5187 2.6733 0.0000 -2.3041 0.0000 6.9344" Properties=species:S:1:pos:R:3 pbc="T T T"
Ca -0.2198 0.0000 2.0103
Ca 2.0909 0.0000 5.4606
Ca 5.3468 0.0000 3.8338
Ca 7.5209 0.0000 0.5034
Ca 9.2124 0.0000 6.4310
Ca 11.3865 0.0000 3.1006
Ca 14.6424 0.0000 1.4738
Ca 16.9532 0.0000 4.9241
Cu 8.3667 0.0000 3.4672
Sn 3.0443 0.0000 1.4421
Sn 13.6891 0.0000 5.4923
```

[15]
Computed, not measured: a relaxed Li3AlTc crystal at the PBE level of DFT.

Output
**Energy relative to the elements**: 1.173 eV/atom
**Symmetry**: Pm-3m

```
5
Lattice="4.3833 0.0000 0.0000 0.0000 4.3833 0.0000 0.0000 0.0000 4.3833" Properties=species:S:1:pos:R:3 pbc="T T T"
Li 0.0000 0.0000 2.1916
Li 0.0000 2.1916 0.0000
Li 2.1916 0.0000 0.0000
Al 0.0000 0.0000 0.0000
Tc 2.1916 2.1916 2.1916
```

[16]
Computed, not measured: a relaxed CaZn2InAg4 crystal at the PBE level of DFT.

Output
**Energy relative to the elements**: -0.090 eV/atom
**Symmetry**: R-3m

```
8
Lattice="2.2903 1.3223 9.0795 -2.2903 1.3223 9.0795 0.0000 -2.6446 9.0795" Properties=species:S:1:pos:R:3 pbc="T T T"
Ca 0.0000 0.0000 0.0000
Zn 0.0000 0.0000 7.0002
Zn 0.0000 0.0000 20.2384
In 0.0000 0.0000 13.6193
Ag 0.0000 0.0000 3.1924
Ag 0.0000 0.0000 10.8007
Ag 0.0000 0.0000 16.4378
Ag 0.0000 0.0000 24.0462
```

[17]
Computed, not measured: a relaxed TiCd6Ag crystal at the PBE level of DFT.

Output
**Energy relative to the elements**: 0.021 eV/atom
**Symmetry**: P4/mmm

```
8
Lattice="4.5051 0.0000 0.0000 0.0000 4.5051 0.0000 0.0000 0.0000 8.0312" Properties=species:S:1:pos:R:3 pbc="T T T"
Ti 0.0000 0.0000 0.0000
Cd 0.0000 2.2526 1.9883
Cd 0.0000 2.2526 6.0429
Cd 2.2526 0.0000 1.9883
Cd 2.2526 0.0000 6.0429
Cd 2.2526 2.2526 0.0000
Cd 2.2526 2.2526 4.0156
Ag 0.0000 0.0000 4.0156
```

[18]
Computed, not measured: a relaxed Sr2TcRh crystal at the PBE level of DFT.

Output
**Energy relative to the elements**: 0.622 eV/atom
**Symmetry**: P4/mmm

```
4
Lattice="3.5123 0.0000 0.0000 0.0000 3.5123 0.0000 0.0000 0.0000 8.0952" Properties=species:S:1:pos:R:3 pbc="T T T"
Sr 0.0000 0.0000 1.8659
Sr 0.0000 0.0000 6.2294
Tc 1.7561 1.7561 4.0476
Rh 1.7561 1.7561 0.0000
```

[19]
Computed, not measured: a relaxed Pm5Y12Sn3 crystal at the PBE level of DFT.

Output
**Energy relative to the elements**: 0.690 eV/atom
**Symmetry**: Ia-3d

```
80
Lattice="-9.0959 9.0959 9.0959 9.0959 -9.0959 9.0959 9.0959 9.0959 -9.0959" Properties=species:S:1:pos:R:3 pbc="T T T"
Pm 0.0000 0.0000 0.0000
Pm 4.5479 4.5479 -4.5479
Pm 4.5479 -4.5479 4.5479
Pm 9.0959 0.0000 0.0000
Pm 13.6438 2.2740 0.0000
Pm 9.0959 -4.5479 6.8219
Pm 6.8219 9.0959 -4.5479
Pm 6.8219 0.0000 4.5479
Pm 4.5479 6.8219 0.0000
Pm 9.0959 4.5479 2.2740
Pm -4.5479 4.5479 4.5479
Pm 0.0000 9.0959 0.0000
Pm 0.0000 0.0000 9.0959
Pm 4.5479 4.5479 4.5479
Pm 0.0000 4.5479 6.8219
Pm 4.5479 2.2740 9.0959
Pm 2.2740 9.0959 4.5479
Pm 2.2740 0.0000 13.6438
Pm 0.0000 13.6438 2.2740
Pm -4.5479 6.8219 9.0959
Y 8.9588 -1.4821 2.7419
Y 13.7809 -1.8061 3.0658
Y 2.7419 -0.1371 1.4821
Y 10.9019 6.0301 -4.6851
Y 11.8378 0.1371 1.4821
Y 10.9019 -3.0658 4.6851
Y 1.4821 2.7419 -0.1371
Y 12.1617 4.4108 -1.8061
Y 6.0301 4.6851 -1.8061
Y 7.6137 2.7419 0.1371
Y -0.1371 1.4821 2.7419
Y 4.6851 -1.8061 6.0301
Y 8.9588 7.6137 -2.7419
Y 4.6851 1.8061 3.0658
Y 7.6137 -2.7419 8.9588
Y 6.0301 -4.6851 10.9019
Y 3.0658 4.6851 1.8061
Y 10.5780 6.3540 0.1371
Y 2.7419 8.9588 -1.4821
Y 10.9019 3.0658 4.4108
Y 1.8061 3.0658 4.6851
Y 2.7419 0.1371 7.6137
Y 4.6851 10.9019 -3.0658
Y 8.9588 1.4821 6.3540
Y 0.1371 7.6137 2.7419
Y 4.4108 -1.8061 12.1617
Y 6.3540 8.9588 1.4821
Y 7.2898 6.0301 4.4108
Y -1.8061 6.0301 4.6851
Y 6.3540 0.1371 10.5780
Y -1.4821 2.7419 8.9588
Y 6.0301 4.4108 7.2898
Y 3.0658 13.7809 -1.8061
Y 1.4821 11.8378 0.1371
Y 4.4108 7.2898 6.0301
Y 0.1371 1.4821 11.8378
Y 4.4108 10.9019 3.0658
Y 9.2330 7.6137 6.3540
Y 1.4821 6.3540 8.9588
Y 3.0658 4.4108 10.9019
Y -3.0658 4.6851 10.9019
Y 7.6137 6.3540 9.2330
Y -1.8061 12.1617 4.4108
Y -2.7419 8.9588 7.6137
Y -1.8061 3.0658 13.7809
Y 6.3540 9.2330 7.6137
Y -4.6851 10.9019 6.0301
Y 0.1371 10.5780 6.3540
Sn 4.5479 2.2740 0.0000
Sn 9.0959 4.5479 -2.2740
Sn 2.2740 0.0000 4.5479
Sn 11.3698 0.0000 4.5479
Sn 0.0000 4.5479 2.2740
Sn 4.5479 -2.2740 9.0959
Sn 4.5479 11.3698 0.0000
Sn 9.0959 4.5479 6.8219
Sn -2.2740 9.0959 4.5479
Sn 6.8219 9.0959 4.5479
Sn 0.0000 4.5479 11.3698
Sn 4.5479 6.8219 9.0959
```

[20]
Computed, not measured: a relaxed Pr2SmSn2 crystal at the PBE level of DFT.

Output
**Energy relative to the elements**: -0.613 eV/atom
**Symmetry**: C2/m

```
10
Lattice="6.5201 -2.4239 0.0000 6.5201 2.4239 0.0000 -5.0793 0.0000 10.0992" Properties=species:S:1:pos:R:3 pbc="T T T"
Pr -0.7749 0.0000 1.8151
Pr -0.6047 0.0000 5.9663
Pr 8.5656 0.0000 4.1329
Pr 8.7359 0.0000 8.2841
Sm 2.9932 0.0000 1.4943
Sm 4.9678 0.0000 8.6049
Sn 0.1680 0.0000 9.3584
Sn 2.9308 0.0000 6.1301
Sn 5.0302 0.0000 3.9691
Sn 7.7930 0.0000 0.7409
```